Record 1
{
  "formula": "Rb3In2S4",
  "functional": "PBE-GGA",
  "state": "optimized geometry",
  "dos_at_fermi_per_ev_cell": 6.568,
  "formation_energy_uncorrected_ev_per_atom": -0.888,
  "cell": [[-4.1364, -6.5758, -0.8979], [5.0930, -4.5373, 5.8804], [-4.3988, 1.1754, 7.7700]],
  "species": ["Rb", "Rb", "Rb", "Rb", "Rb", "Rb", "In", "In", "In", "In", "S", "S", "S", "S", "S", "S", "S", "S"],
  "fractional_positions": [[0.9304, 0.9853, 0.2564], [0.5696, 0.7436, 0.0147], [0.0696, 0.0147, 0.7436], [0.4304, 0.2564, 0.9853], [0.2500, 0.6081, 0.3919], [0.7500, 0.3919, 0.6081], [0.4148, 0.1788, 0.4167], [0.0852, 0.5833, 0.8212], [0.5852, 0.8212, 0.5833], [0.9148, 0.4167, 0.1788], [0.4861, 0.9393, 0.3077], [0.0139, 0.6923, 0.0607], [0.5139, 0.0607, 0.6923], [0.9861, 0.3077, 0.9393], [0.0910, 0.2659, 0.3992], [0.4090, 0.6008, 0.7341], [0.9090, 0.7341, 0.6008], [0.5910, 0.3992, 0.2659]]
}



Record 2
{
  "formula": "Cr3BI",
  "functional": "PBE-GGA",
  "state": "optimized geometry",
  "de_polymorph_ev_per_atom": 0.000,
  "dos_at_fermi_per_ev_cell": 3.488,
  "formation_energy_uncorrected_ev_per_atom": 0.694,
  "cell": [[-2.1239, -1.9563, 3.3102], [3.3769, 0.8595, 2.6746], [-1.8388, 3.8379, 1.0883]],
  "species": ["I", "Cr", "Cr", "Cr", "B"],
  "fractional_positions": [[0.5000, 0.5000, 0.5000], [0.0000, 0.5000, 0.0000], [0.0000, 0.0000, 0.5000], [0.5000, 0.0000, 0.0000], [0.0000, 0.0000, 0.0000]]
}



Record 3
{
  "formula": "MnTlSn2Hg",
  "functional": "PBE-GGA",
  "state": "optimized geometry",
  "de_polymorph_ev_per_atom": 0.000,
  "dos_at_fermi_per_ev_cell": 0.652,
  "ef_ev_per_atom": 0.150,
  "cell": [[4.9889, 0.0000, 0.0000], [0.0000, 4.9889, 0.0000], [0.0000, 0.0000, 5.2611]],
  "species": ["Tl", "Mn", "Hg", "Sn", "Sn"],
  "fractional_positions": [[0.0000, 0.0000, 0.5000], [0.0000, 0.0000, 0.0000], [0.5000, 0.5000, 0.5000], [0.0000, 0.5000, 0.0000], [0.5000, 0.0000, 0.0000]]
}



Record 4
{
  "formula": "YScTl2",
  "functional": "PBE-GGA",
  "state": "optimized geometry",
  "dos_at_fermi_per_ev_cell": 4.361,
  "ef_ev_per_atom": -0.218,
  "cell": [[-0.3617, 4.2980, 8.8573], [-1.1590, 0.8949, 9.7422], [2.2837, 1.9072, 9.3916]],
  "species": ["Y", "Sc", "Tl", "Tl"],
  "fractional_positions": [[0.2500, 0.2500, 0.2500], [0.7500, 0.7500, 0.7500], [0.0037, 0.0037, 0.0037], [0.4963, 0.4963, 0.4963]]
}



Record 5
{
  "formula": "SbPtW3",
  "functional": "PBE-GGA",
  "state": "optimized geometry",
  "de_polymorph_ev_per_atom": 0.694,
  "dos_at_fermi_per_ev_cell": 8.430,
  "formation_energy_uncorrected_ev_per_atom": 2.673,
  "cell": [[4.8178, 0.0000, 0.0000], [0.0000, 4.8178, 0.0000], [0.0000, 0.0000, 4.8178]],
  "species": ["Sb", "W", "W", "W", "Pt"],
  "fractional_positions": [[0.0000, 0.0000, 0.0000], [0.0000, 0.5000, 0.0000], [0.0000, 0.0000, 0.5000], [0.5000, 0.0000, 0.0000], [0.5000, 0.5000, 0.5000]]
}



Record 6
{
  "formula": "Rb2DyZn2O4",
  "functional": "PBE-GGA",
  "state": "optimized geometry",
  "dos_at_fermi_per_ev_cell": 1.988,
  "formation_energy_uncorrected_ev_per_atom": -1.736,
  "cell": [[-2.4225, 1.9972, 1.3115], [-3.9000, -5.5746, 1.2854], [5.3788, 0.3046, 5.0579]],
  "species": ["Rb", "Rb", "Dy", "Zn", "Zn", "O", "O", "O", "O"],
  "fractional_positions": [[0.1272, 0.5555, 0.2545], [0.8728, 0.4445, 0.7455], [0.0000, 0.0000, 0.0000], [0.6810, 0.0347, 0.3621], [0.3190, 0.9653, 0.6379], [0.1690, 0.1891, 0.3380], [0.8310, 0.8109, 0.6620], [0.5425, 0.8212, 0.0850], [0.4575, 0.1788, 0.9150]]
}



Number 1: V 34.3 Å³/atom, VASP energy -3.654 eV per atom. Number 2: V 17.0 Å³/atom, VASP energy -6.725 eV per atom. Number 3: V 26.2 Å³/atom, VASP energy -3.818 eV per atom. Number 4: V 27.1 Å³/atom, VASP energy -4.601 eV per atom. Number 5: V 22.4 Å³/atom, VASP energy -7.132 eV per atom. Number 6: V 17.8 Å³/atom, VASP energy -4.949 eV per atom.